Here is RbBr2F after structural relaxation from the Alexandria database. Energies are from PBE-GGA.

The structure in POSCAR format:
```
RbBr2F
1.0
0.000 3.933 3.933
3.933 0.000 3.933
3.933 3.933 0.000
Rb Br F
1 2 1
direct
0.000 0.000 0.000 Rb
0.250 0.250 0.250 Br
0.750 0.750 0.750 Br
0.500 0.500 0.500 F
```


Here is Rb2Br2F7 after structural relaxation from the Alexandria database. Energies are from PBE-GGA.

The structure in POSCAR format:
```
Rb2Br2F7
1.0
4.986 0.000 0.000
0.000 14.895 0.000
-0.219 0.000 6.557
Rb Br F
4 4 14
direct
0.126 0.000 0.097 Rb
0.240 0.240 0.610 Rb
0.760 0.740 0.390 Rb
0.874 0.500 0.903 Rb
0.252 0.746 0.905 Br
0.377 0.483 0.406 Br
0.623 0.983 0.594 Br
0.748 0.246 0.095 Br
0.080 0.409 0.320 F
0.163 0.187 0.032 F
0.250 0.797 0.179 F
0.255 0.699 0.631 F
0.314 0.056 0.507 F
0.342 0.439 0.684 F
0.401 0.527 0.130 F
0.599 0.027 0.870 F
0.658 0.939 0.316 F
0.686 0.556 0.493 F
0.745 0.199 0.369 F
0.750 0.297 0.821 F
0.837 0.687 0.968 F
0.920 0.909 0.680 F
```


| no. | raw formation energy (kJ/mol of atoms) |
| --- | --- |
| 1 | -58.7 |
| 2 | -156.0 |